The following is a DFT calculation (PBE-GGA) of a relaxed ZrTeRh2 crystal.

Cell: 5.222 5.222 5.222 Å, 134.58 134.58 66.19°
Atoms (fractional coordinates):
Zr (0.000, 0.000, 0.000)
Te (0.750, 0.250, 0.500)
Rh (0.250, 0.750, 0.500)
Rh (0.500, 0.500, 0.000)

Results
**Formation energy without anion corrections**: -184 kJ/mol of formula units
**Calculated volume**: 71.1 Å³/cell
**DOS at the Fermi energy**: 2.7 states/eV/cell
**M_tot**: 0.0 Bohr magnetons per cell